P:
Density functional theory data (PBE) for crystalline Tb3Pm4Ho8 at its relaxed geometry.

Structure (extended XYZ):
```
15
Lattice="6.695 -6.404 0.000 6.695 6.404 0.000 -3.387 0.000 5.833" Properties=species:S:1:pos:R:3 pbc="T T T"
Tb 0.000 0.000 0.000
Tb 1.654 3.202 2.917
Tb 1.654 -3.202 2.917
Pm 3.347 3.202 0.000
Pm 3.347 -3.202 0.000
Pm 6.695 0.000 0.000
Pm 5.001 0.000 2.917
Ho 5.001 4.626 2.917
Ho -0.187 0.000 5.642
Ho 1.453 0.000 2.862
Ho 6.695 3.269 0.000
Ho 6.695 -3.269 0.000
Ho 8.549 0.000 2.971
Ho 10.189 0.000 0.192
Ho 5.001 -4.626 2.917
```

Results
- V: 500.1 Å³/cell
- Total magnetization: 0.0 Bohr magnetons per cell
- SG: C2/m, No. 12


Q:
Density functional theory data (PBE) for crystalline Tb3Pm4Ho8 at its relaxed geometry.

Structure (extended XYZ):
```
15
Lattice="3.474 2.006 11.787 -3.474 2.006 11.787 0.000 -4.011 11.787" Properties=species:S:1:pos:R:3 pbc="T T T"
Tb -1.737 -1.003 11.787
Tb -1.737 1.003 23.574
Tb 0.000 2.006 11.787
Pm 0.000 0.000 0.000
Pm 0.000 0.000 5.780
Pm 0.000 0.000 17.681
Pm 0.000 0.000 29.582
Ho 0.000 -1.995 14.704
Ho -1.728 0.998 14.704
Ho -1.728 -0.998 20.658
Ho 0.000 0.000 9.014
Ho 0.000 0.000 26.347
Ho 1.728 0.998 14.704
Ho 1.728 -0.998 20.658
Ho 0.000 1.995 20.658
```

Results
- V: 492.7 Å³/cell
- Total magnetization: 0.0 Bohr magnetons per cell
- SG: R-3m, No. 166


The computed energies, referenced to the most stable structure and given in eV/atom, are P 0.248; Q 0.000.


P:
Density functional theory data (PBE) for crystalline Tb5PmHo at its relaxed geometry.

Structure (extended XYZ):
```
14
Lattice="5.876 -3.378 0.000 5.876 3.378 0.000 -4.361 0.000 11.463" Properties=species:S:1:pos:R:3 pbc="T T T"
Tb -0.681 0.887 8.541
Tb 2.605 2.772 8.597
Tb 0.587 1.790 11.454
Tb 4.623 1.790 5.741
Tb 1.500 -0.887 2.810
Tb 5.891 0.887 8.654
Tb 2.768 -1.790 5.723
Tb 6.804 -1.790 0.009
Tb 4.786 -2.772 2.866
Tb 8.072 -0.887 2.922
Pm 4.786 0.205 2.866
Pm 2.605 -0.205 8.597
Ho 0.758 1.689 5.732
Ho 2.938 -1.689 0.000
```

Results
- V: 455.1 Å³/cell
- Total magnetization: 0.0 Bohr magnetons per cell
- SG: C2/c, No. 15


Q:
Density functional theory data (PBE) for crystalline Tb5PmHo at its relaxed geometry.

Structure (extended XYZ):
```
7
Lattice="-2.894 4.338 5.938 2.894 -4.338 5.938 2.894 4.338 -5.938" Properties=species:S:1:pos:R:3 pbc="T T T"
Tb 0.000 0.000 0.000
Tb 2.894 0.000 2.936
Tb 2.894 2.783 0.000
Tb 0.000 1.555 5.938
Tb 0.000 4.338 3.002
Pm 0.000 4.338 0.000
Ho 2.894 0.000 0.000
```

Results
- V: 298.1 Å³/cell
- Total magnetization: 0.0 Bohr magnetons per cell
- SG: Immm, No. 71


The computed energies, referenced to the most stable structure and given in eV/atom, are P 0.000; Q 0.897.


P:
Density functional theory data (PBE) for crystalline Tb4PmHo4 at its relaxed geometry.

Structure (extended XYZ):
```
18
Lattice="3.145 -8.584 0.000 3.145 8.584 0.000 -1.791 0.000 10.666" Properties=species:S:1:pos:R:3 pbc="T T T"
Tb 2.848 6.147 1.772
Tb 1.651 6.147 8.894
Tb 2.249 6.124 5.333
Tb 3.145 3.188 0.000
Tb 3.145 -3.188 0.000
Tb 2.249 -6.124 5.333
Tb 2.848 -6.147 1.772
Tb 1.651 -6.147 8.894
Pm 0.460 0.000 7.683
Pm 4.038 0.000 2.983
Ho 1.625 0.000 0.579
Ho 1.031 0.000 4.135
Ho 2.514 3.190 3.561
Ho 1.985 3.190 7.105
Ho 2.514 -3.190 3.561
Ho 1.985 -3.190 7.105
Ho 3.467 0.000 6.531
Ho 2.873 0.000 10.086
```

Results
- V: 575.8 Å³/cell
- Total magnetization: 0.0 Bohr magnetons per cell
- SG: C2/m, No. 12


Q:
Density functional theory data (PBE) for crystalline Tb4PmHo4 at its relaxed geometry.

Structure (extended XYZ):
```
9
Lattice="-5.335 5.335 2.507 5.335 -5.335 2.507 5.335 5.335 -2.507" Properties=species:S:1:pos:R:3 pbc="T T T"
Tb 3.558 0.000 0.000
Tb 7.112 0.000 0.000
Tb 0.000 3.558 0.000
Tb 0.000 7.112 0.000
Pm 0.000 0.000 0.000
Ho 3.551 3.551 0.000
Ho 1.784 -1.784 2.507
Ho -1.784 1.784 2.507
Ho 1.784 1.784 2.507
```

Results
- V: 285.4 Å³/cell
- Total magnetization: 0.0 Bohr magnetons per cell
- SG: I4/mmm, No. 139


The computed energies, referenced to the most stable structure and given in eV/atom, are P 0.066; Q 0.000.